# Tb8Ni2Pb (GGA-PBE, optimized geometry)
data_Tb8Ni2Pb
_chemical_formula_sum 'Tb16 Ni4 Pb2'
_symmetry_space_group_name_H-M 'C 1 2/m 1'
_symmetry_Int_Tables_number 12
_cell_length_a 8.6294
_cell_length_b 13.3966
_cell_length_c 5.3966
_cell_angle_alpha 90.00
_cell_angle_beta 103.95
_cell_angle_gamma 90.00
loop_
_symmetry_equiv_pos_as_xyz
'x,y,z'
'-x,-y,-z'
'-x,y,-z'
'x,-y,z'
'x+1/2,y+1/2,z'
'-x+1/2,-y+1/2,-z'
'-x+1/2,y+1/2,-z'
'x+1/2,-y+1/2,z'
loop_
_atom_site_label
_atom_site_type_symbol
_atom_site_fract_x
_atom_site_fract_y
_atom_site_fract_z
Tb1 Tb 0.0000 0.2494 0.0000
Tb2 Tb 0.1031 0.5000 0.8010
Tb3 Tb 0.2056 0.1281 0.5750
Ni1 Ni 0.0000 0.3025 0.5000
Pb1 Pb 0.0000 0.0000 0.0000
# Total energy   -54.3 eV per formula unit
# Calculated volume   605.5 Å³ per cell
# Magnetization   0.00 μB/f.u.
# Energy relative to the elements   -0.18 eV/atom

---

# TbNi2Pb (GGA-PBE, optimized geometry)
data_TbNi2Pb
_chemical_formula_sum 'Tb4 Ni8 Pb4'
_symmetry_space_group_name_H-M 'F m -3 m'
_symmetry_Int_Tables_number 225
_symmetry_space_group_name_Hall '-F 4 2 3'
_cell_length_a 6.6041
_cell_length_b 6.6041
_cell_length_c 6.6041
_cell_angle_alpha 90.00
_cell_angle_beta 90.00
_cell_angle_gamma 90.00
loop_
_atom_site_label
_atom_site_type_symbol
_atom_site_fract_x
_atom_site_fract_y
_atom_site_fract_z
Tb1 Tb 0.0000 0.0000 0.0000
Ni1 Ni 0.2500 0.2500 0.2500
Pb1 Pb 0.0000 0.0000 0.5000
# Total energy   -20.9 eV per formula unit
# Calculated volume   288.0 Å³ per cell
# Magnetization   0.00 μB/f.u.
# Energy relative to the elements   -0.25 eV/atom

---

# Tb3NiPb3 (GGA-PBE, optimized geometry)
data_Tb3NiPb3
_chemical_formula_sum 'Tb12 Ni4 Pb12'
_symmetry_space_group_name_H-M 'C 1 2/m 1'
_symmetry_Int_Tables_number 12
_cell_length_a 11.4181
_cell_length_b 4.4528
_cell_length_c 15.3461
_cell_angle_alpha 90.00
_cell_angle_beta 109.34
_cell_angle_gamma 90.00
loop_
_symmetry_equiv_pos_as_xyz
'x,y,z'
'-x,-y,-z'
'-x,y,-z'
'x,-y,z'
'x+1/2,y+1/2,z'
'-x+1/2,-y+1/2,-z'
'-x+1/2,y+1/2,-z'
'x+1/2,-y+1/2,z'
loop_
_atom_site_label
_atom_site_type_symbol
_atom_site_fract_x
_atom_site_fract_y
_atom_site_fract_z
Tb1 Tb 0.0230 0.0000 0.3829
Tb2 Tb 0.0937 0.0000 0.9214
Tb3 Tb 0.2348 0.0000 0.2403
Ni1 Ni 0.2309 0.5000 0.3817
Pb1 Pb 0.0170 0.5000 0.2372
Pb2 Pb 0.1377 0.5000 0.0779
Pb3 Pb 0.1539 0.5000 0.5398
# Total energy   -33.9 eV per formula unit
# Calculated volume   736.2 Å³ per cell
# Magnetization   0.00 μB/f.u.
# Energy relative to the elements   -0.45 eV/atom